{
  "formula": "SrEuVWO6",
  "functional": "GGA+U",
  "state": "relaxed",
  "dos_at_fermi_per_ev_cell": 0.717,
  "magnetic_moment_mub_per_cell": 10.004,
  "total_energy_ev_per_cell": -81.02,
  "sg": "F-43m",
  "cell": [[4.791, -1.588, 2.664], [0.543, 0.814, 5.622], [-0.055, -4.469, 3.549]],
  "species": ["Sr", "Eu", "V", "W", "O", "O", "O", "O", "O", "O"],
  "frac_coords": [[0.750, 0.750, 0.750], [0.250, 0.250, 0.250], [0.000, 0.000, 0.000], [0.500, 0.500, 0.500], [0.258, 0.742, 0.258], [0.742, 0.258, 0.742], [0.258, 0.742, 0.742], [0.742, 0.258, 0.258], [0.258, 0.258, 0.742], [0.742, 0.742, 0.258]]
}